The following is a PBE calculation of crystalline La2CdPd2 at its relaxed geometry, from OQMD via LeMat-Bulk.

## Properties
M_tot: 0.001 μB per atom
ΔH_f (0 K): -0.79 eV/atom
symmetry: P4/mbm, No. 127
E: -0.184 Ha/atom

a = 7.9076 Å, b = 7.9076 Å, c = 3.9966 Å
α = 90.00°, β = 90.00°, γ = 90.00°
Fractional coordinates of all 10 atoms:
Pd 0.3714 0.8714 0.0000
La 0.3258 0.1742 0.5000
La 0.1742 0.6742 0.5000
La 0.6742 0.8258 0.5000
Pd 0.1286 0.3714 0.0000
Pd 0.8714 0.6286 0.0000
La 0.8258 0.3258 0.5000
Cd 0.0000 0.0000 0.0000
Pd 0.6286 0.1286 0.0000
Cd 0.5000 0.5000 0.0000

***

The following is a PBE calculation of crystalline La6Cd4Pd13 at its relaxed geometry, from OQMD via LeMat-Bulk.

## Properties
M_tot: 0.000 μB per atom
ΔH_f (0 K): -0.78 eV/atom
symmetry: Im-3m, No. 229
E: -0.189 Ha/atom

a = 8.6211 Å, b = 8.6211 Å, c = 8.6211 Å
α = 109.47°, β = 109.47°, γ = 109.47°
Fractional coordinates of all 23 atoms:
Pd 0.3424 0.0000 0.6576
La 0.6962 0.0000 0.6962
Cd 0.0000 0.5000 0.0000
Pd 0.6576 0.3424 0.0000
Pd 0.3151 0.6576 0.6576
Cd 0.0000 0.0000 0.5000
Pd 0.3424 0.6849 0.3424
Cd 0.5000 0.5000 0.5000
La 0.6962 0.6962 0.0000
La 0.3038 0.0000 0.3038
La 0.3038 0.3038 0.0000
La 0.0000 0.6962 0.6962
Pd 0.6576 0.3151 0.6576
Pd 0.0000 0.6576 0.3424
Pd 0.6576 0.6576 0.3151
Pd 0.0000 0.0000 0.0000
Pd 0.6576 0.0000 0.3424
Cd 0.5000 0.0000 0.0000
Pd 0.0000 0.3424 0.6576
Pd 0.3424 0.3424 0.6849
Pd 0.3424 0.6576 0.0000
Pd 0.6849 0.3424 0.3424
La 0.0000 0.3038 0.3038

***

The following is a PBE calculation of crystalline LaCdPd at its relaxed geometry, from OQMD via LeMat-Bulk.

## Properties
M_tot: 0.001 μB per atom
ΔH_f (0 K): -0.71 eV/atom
symmetry: P-62m, No. 189
E: -0.161 Ha/atom

a = 7.7314 Å, b = 7.7314 Å, c = 4.1774 Å
α = 90.00°, β = 90.00°, γ = 120.00°
Fractional coordinates of all 9 atoms:
Cd 0.2469 0.0000 0.0000
Pd 0.3333 0.6667 0.0000
La 0.0000 0.5901 0.5000
La 0.5901 0.0000 0.5000
Pd 0.6667 0.3333 0.0000
Cd 0.0000 0.2469 0.0000
Pd 0.0000 0.0000 0.5000
Cd 0.7531 0.7531 0.0000
La 0.4099 0.4099 0.5000

***

The following is a PBE calculation of crystalline LaCdPd at its relaxed geometry, from OQMD via LeMat-Bulk.

## Properties
M_tot: 0.029 μB per atom
ΔH_f (0 K): -0.25 eV/atom
symmetry: P-62m, No. 189
E: -0.144 Ha/atom

a = 8.3797 Å, b = 8.3797 Å, c = 3.4577 Å
α = 90.00°, β = 90.00°, γ = 120.00°
Fractional coordinates of all 9 atoms:
Pd 0.0000 0.6393 0.5000
La 0.0000 0.2987 0.0000
La 0.2987 0.0000 0.0000
Cd 0.6667 0.3333 0.0000
Cd 0.3333 0.6667 0.0000
La 0.7013 0.7013 0.0000
Pd 0.6393 0.0000 0.5000
Pd 0.3607 0.3607 0.5000
Cd 0.0000 0.0000 0.5000